{"formula": "Ac2PrAg2", "functional": "PBE", "state": "relaxed", "lattice_angstrom": [[6.6218, 0.0000, 0.0000], [0.0000, 4.3422, 0.0000], [-0.8775, 0.0000, 12.0388]], "species": ["Ac", "Ac", "Ac", "Ac", "Pr", "Pr", "Ag", "Ag", "Ag", "Ag"], "frac_coords": [[0.1095, 0.2500, 0.3751], [0.2803, 0.2500, 0.0614], [0.7197, 0.7500, 0.9386], [0.8905, 0.7500, 0.6249], [0.3943, 0.2500, 0.7181], [0.6057, 0.7500, 0.2819], [0.1877, 0.7500, 0.8599], [0.3723, 0.7500, 0.5277], [0.6277, 0.2500, 0.4723], [0.8123, 0.2500, 0.1401]], "formation_energy_mev_per_atom": -108.6, "crystal_system": "monoclinic", "vol_a3_per_atom": 34.62, "total_energy_ev_per_atom": -3.8484}